# 1
Here is a crystal of YGa2BP relaxed with PBEsol from Alexandria. Energies are from SCAN.

abc: 4.0442 4.0442 5.2518
angles: 90.00 90.00 90.00
Closest atoms and distances in Å follow each position.
Atoms (fractional coordinates):
Y 0.0000 0.0000 0.0000  2 B 2.63, 4 P 2.86
Ga 0.0000 0.5000 0.5000  2 B 2.02
Ga 0.5000 0.0000 0.5000  2 B 2.02
B 0.0000 0.0000 0.5000  4 Ga 2.02
P 0.5000 0.5000 0.0000  4 Y 2.86

Calculated values
The total moment comes out at 0.00 μB per formula unit. As for the space-group type: P4/mmm (123). The formation energy comes out at -0.218 eV/atom. Its calculated total energy is -15.89 eV per atom.

***

# 2
Here is a crystal of LaZn2Os relaxed with PBEsol from Alexandria. Energies are from SCAN.

abc: 3.9779 3.9779 4.6863
angles: 90.00 90.00 90.00
Closest atoms and distances in Å follow each position.
Atoms (fractional coordinates):
La 0.0000 0.0000 0.0000  4 Os 2.81, 8 Zn 3.07
Zn 0.0000 0.5000 0.5000  4 Zn 2.81, 4 La 3.07, 4 Os 3.07
Zn 0.5000 0.0000 0.5000  4 Zn 2.81, 4 La 3.07, 4 Os 3.07
Os 0.5000 0.5000 0.0000  4 La 2.81, 8 Zn 3.07

Calculated values
The total moment comes out at 0.00 μB per formula unit. As for the space-group type: P4/mmm (123). The formation energy comes out at 0.246 eV/atom. Its calculated total energy is -35.26 eV per atom.

***

# 3
Here is a crystal of Y2ZrMn relaxed with PBEsol from Alexandria. Energies are from SCAN.

abc: 4.5636 4.5636 4.4876
angles: 90.00 90.00 90.00
Closest atoms and distances in Å follow each position.
Atoms (fractional coordinates):
Y 0.0000 0.5000 0.0000  4 Zr 3.20, 4 Mn 3.20, 4 Y 3.23
Y 0.5000 0.0000 0.0000  4 Zr 3.20, 4 Mn 3.20, 4 Y 3.23
Zr 0.0000 0.0000 0.5000  8 Y 3.20, 4 Mn 3.23
Mn 0.5000 0.5000 0.5000  8 Y 3.20, 4 Zr 3.23

Calculated values
The total moment comes out at 2.72 μB per formula unit. As for the space-group type: P4/mmm (123). The formation energy comes out at 0.106 eV/atom. Its calculated total energy is -26.05 eV per atom.

***

# 4
Here is a crystal of Li2ScSi relaxed with PBEsol from Alexandria. Energies are from SCAN.

abc: 6.3499 6.3499 6.3499
angles: 90.00 90.00 90.00
Closest atoms and distances in Å follow each position.
Atoms (fractional coordinates):
Li 0.0000 0.0000 0.0000  4 Li 2.75, 4 Si 2.75
Li 0.0000 0.5000 0.5000  4 Li 2.75, 4 Si 2.75
Li 0.2500 0.2500 0.2500  4 Li 2.75, 4 Sc 2.75
Li 0.2500 0.7500 0.7500  4 Li 2.75, 4 Sc 2.75
Li 0.5000 0.0000 0.5000  4 Li 2.75, 4 Si 2.75
Li 0.5000 0.5000 0.0000  4 Li 2.75, 4 Si 2.75
Li 0.7500 0.2500 0.7500  4 Li 2.75, 4 Sc 2.75
Li 0.7500 0.7500 0.2500  4 Li 2.75, 4 Sc 2.75
Sc 0.0000 0.0000 0.5000  4 Li 2.75, 4 Si 2.75
Sc 0.0000 0.5000 0.0000  4 Li 2.75, 4 Si 2.75
Sc 0.5000 0.0000 0.0000  4 Li 2.75, 4 Si 2.75
Sc 0.5000 0.5000 0.5000  4 Li 2.75, 4 Si 2.75
Si 0.2500 0.2500 0.7500  4 Li 2.75, 4 Sc 2.75
Si 0.2500 0.7500 0.2500  4 Li 2.75, 4 Sc 2.75
Si 0.7500 0.2500 0.2500  4 Li 2.75, 4 Sc 2.75
Si 0.7500 0.7500 0.7500  4 Li 2.75, 4 Sc 2.75

Calculated values
The total moment comes out at 0.00 μB per formula unit. As for the space-group type: F-43m (216). Its calculated total energy is -7.59 eV per atom. The formation energy without anion corrections is -0.3352 eV per atom.

***

# 5
Here is a crystal of ReRh2O6 relaxed with PBEsol from Alexandria. Energies are from SCAN.

abc: 4.5311 4.5311 9.2466
angles: 90.00 90.00 90.00
Closest atoms and distances in Å follow each position.
Atoms (fractional coordinates):
Re 0.0000 0.0000 0.0000  6 O 1.92-1.93
Re 0.5000 0.5000 0.5000  6 O 1.92-1.93
Rh 0.0000 0.0000 0.3327  6 O 1.98-2.01
Rh 0.0000 0.0000 0.6673  6 O 1.98-2.01
Rh 0.5000 0.5000 0.1673  6 O 1.98-2.01
Rh 0.5000 0.5000 0.8327  6 O 1.98-2.01
O 0.1914 0.1914 0.1603  1 Re 1.92, 2 Rh 1.98-2.01
O 0.1914 0.1914 0.8397  1 Re 1.92, 2 Rh 1.98-2.01
O 0.1986 0.1986 0.5000  1 Re 1.93, 2 Rh 2.00
O 0.3014 0.6986 0.0000  1 Re 1.93, 2 Rh 2.00
O 0.3086 0.6914 0.3397  1 Re 1.92, 2 Rh 1.98-2.01
O 0.3086 0.6914 0.6603  1 Re 1.92, 2 Rh 1.98-2.01
O 0.6914 0.3086 0.3397  1 Re 1.92, 2 Rh 1.98-2.01
O 0.6914 0.3086 0.6603  1 Re 1.92, 2 Rh 1.98-2.01
O 0.6986 0.3014 0.0000  1 Re 1.93, 2 Rh 2.00
O 0.8014 0.8014 0.5000  1 Re 1.93, 2 Rh 2.00
O 0.8086 0.8086 0.1603  1 Re 1.92, 2 Rh 1.98-2.01
O 0.8086 0.8086 0.8397  1 Re 1.92, 2 Rh 1.98-2.01

Calculated values
The total moment comes out at 0.00 μB per formula unit. As for the space-group type: P4_2/mnm (136). Its calculated total energy is -20.85 eV per atom. The formation energy without anion corrections is -1.2920 eV per atom.

***

# 6
Here is a crystal of RuBr2O relaxed with PBEsol from Alexandria. Energies are from SCAN.

abc: 6.1750 6.1750 7.7161
angles: 90.00 90.00 90.00
Closest atoms and distances in Å follow each position.
Atoms (fractional coordinates):
Ru 0.0000 0.0000 0.0000  4 Br 2.36
Ru 0.0000 0.5000 0.2500  4 Br 2.36
Ru 0.5000 0.0000 0.7500  4 Br 2.36
Ru 0.5000 0.5000 0.5000  4 Br 2.36
Br 0.2445 0.2500 0.1250  2 Ru 2.36, 2 O 2.41
Br 0.2500 0.7445 0.3750  2 Ru 2.36, 2 O 2.41
Br 0.2500 0.7555 0.8750  2 Ru 2.36, 2 O 2.41
Br 0.2555 0.2500 0.6250  2 Ru 2.36, 2 O 2.41
Br 0.7445 0.7500 0.6250  2 Ru 2.36, 2 O 2.41
Br 0.7500 0.2445 0.8750  2 Ru 2.36, 2 O 2.41
Br 0.7500 0.2555 0.3750  2 Ru 2.36, 2 O 2.41
Br 0.7555 0.7500 0.1250  2 Ru 2.36, 2 O 2.41
O 0.0000 0.0000 0.5000  4 Br 2.41
O 0.0000 0.5000 0.7500  4 Br 2.41
O 0.5000 0.0000 0.2500  4 Br 2.41
O 0.5000 0.5000 0.0000  4 Br 2.41

Calculated values
The total moment comes out at 0.00 μB per formula unit. As for the space-group type: I-42d (122). Its calculated total energy is -19.21 eV per atom. The formation energy without anion corrections is 0.7826 eV per atom.

***

# 7
Here is a crystal of NaBi2Pb2 relaxed with PBEsol from Alexandria. Energies are from SCAN.

abc: 5.0009 5.0009 14.3909
angles: 90.00 90.00 90.00
Closest atoms and distances in Å follow each position.
Atoms (fractional coordinates):
Na 0.0000 0.0000 0.0000  8 Bi 3.87
Na 0.5000 0.5000 0.5000  8 Bi 3.87
Bi 0.0000 0.0000 0.3903  1 Bi 3.16, 4 Pb 3.21
Bi 0.0000 0.0000 0.6097  1 Bi 3.16, 4 Pb 3.21
Bi 0.5000 0.5000 0.1097  1 Bi 3.16, 4 Pb 3.21
Bi 0.5000 0.5000 0.8903  1 Bi 3.16, 4 Pb 3.21
Pb 0.0000 0.5000 0.2500  4 Bi 3.21, 4 Pb 3.54
Pb 0.0000 0.5000 0.7500  4 Bi 3.21, 4 Pb 3.54
Pb 0.5000 0.0000 0.2500  4 Bi 3.21, 4 Pb 3.54
Pb 0.5000 0.0000 0.7500  4 Bi 3.21, 4 Pb 3.54

Calculated values
The total moment comes out at 0.00 μB per formula unit. As for the space-group type: I4/mmm (139). The formation energy comes out at -0.066 eV/atom. Its calculated total energy is -62.65 eV per atom.

***

# 8
Here is a crystal of GaHg3C relaxed with PBEsol from Alexandria. Energies are from SCAN.

abc: 4.6827 4.6827 4.6827
angles: 90.00 90.00 90.00
Closest atoms and distances in Å follow each position.
Atoms (fractional coordinates):
Ga 0.0000 0.0000 0.0000  12 Hg 3.31
Hg 0.0000 0.5000 0.5000  2 C 2.34
Hg 0.5000 0.0000 0.5000  2 C 2.34
Hg 0.5000 0.5000 0.0000  2 C 2.34
C 0.5000 0.5000 0.5000  6 Hg 2.34

Calculated values
The total moment comes out at 0.00 μB per formula unit. As for the space-group type: Pm-3m (221). The formation energy comes out at 1.053 eV/atom. Its calculated total energy is -45.14 eV per atom.